No. 1
A relaxed TiAl2ZnRe crystal, computed with PBE-GGA.

Geometry as POSCAR:
```
TiAl2ZnRe
1.0
4.937 0.000 0.000
0.000 4.499 0.000
0.000 0.000 4.937
Al Zn Re Ti
2 1 1 1
Direct
0.500 0.000 0.000
0.000 0.000 0.500
0.500 0.500 0.500
0.000 0.500 0.000
0.000 0.000 0.000
```

Results
- energy of formation from the pure elements (meV/atom) = 1222
- space group = No. 123
- volume (Å³/atom) = 21.9

No. 2
A relaxed TcClO3 crystal, computed with PBE-GGA.

Geometry as POSCAR:
```
TcClO3
1.0
5.172 0.001 0.001
0.002 6.319 0.002
0.001 0.003 7.393
Tc O Cl
2 6 2
Direct
0.271 0.892 0.701
0.771 0.461 0.201
0.377 0.021 0.890
0.940 0.889 0.701
0.377 0.021 0.512
0.877 0.332 0.012
0.440 0.464 0.201
0.877 0.331 0.390
0.413 0.559 0.700
0.912 0.794 0.201
```

Results
- space group = No. 31
- volume (Å³/atom) = 24.2
- calculated total energy (eV per atom) = -6.5360

No. 3
A relaxed NdDy8Er5 crystal, computed with PBE-GGA.

Geometry as POSCAR:
```
NdDy8Er5
1.0
8.032 0.000 -2.472
-4.145 6.683 -2.964
0.258 0.000 8.400
Er Dy Nd
5 8 1
Direct
0.281 0.095 0.960
0.040 0.322 0.136
0.500 0.000 0.500
0.814 0.678 0.719
0.864 0.905 0.186
0.341 0.261 0.425
0.920 0.084 0.659
0.074 0.747 0.469
0.673 0.394 0.926
0.721 0.253 0.327
0.531 0.606 0.279
0.575 0.916 0.836
0.164 0.739 0.080
0.250 0.500 0.750
```

Results
- energy of formation from the pure elements (meV/atom) = 249
- space group = No. 82
- volume (Å³/atom) = 32.5

No. 4
A relaxed MgSn3Pd3 crystal, computed with PBE-GGA.

Geometry as POSCAR:
```
MgSn3Pd3
1.0
-6.369 -2.592 1.783
-0.234 -2.001 6.812
-3.703 4.574 3.979
Sn Mg Pd
6 2 6
Direct
0.422 0.117 0.795
0.205 0.578 0.883
0.883 0.205 0.578
0.578 0.883 0.205
0.795 0.422 0.117
0.117 0.795 0.422
0.668 0.668 0.668
0.332 0.332 0.332
0.948 0.600 0.289
0.711 0.052 0.400
0.400 0.711 0.052
0.600 0.289 0.948
0.052 0.400 0.711
0.289 0.948 0.600
```

Results
- energy of formation from the pure elements (meV/atom) = -508
- space group = No. 148
- volume (Å³/atom) = 21.2

Question: volume of number 3 (NdDy8Er5)?
Answer: 32.5 Å³/atom